The following is a PBE calculation of a relaxed structure of NiWCl2, from Alexandria.

Geometry as POSCAR:
```
NiWCl2
1.0
5.6228 0.7360 -0.0922
-0.5753 5.6415 -0.0922
1.2934 1.6342 1.9904
Cl Ni W
2 1 1
Cartesian
2.5238 3.1888 -0.0922
0.0000 0.0000 0.0000
3.4581 1.1851 0.9491
0.3591 3.6379 0.9491
```

Formation energy (no corrections): 0.643 eV/atom
SG: No. 65
Final energy: -4.964 eV/atom


The following is a PBE calculation of a relaxed structure of NiWCl2, from Alexandria.

Geometry as POSCAR:
```
NiWCl2
1.0
-3.9762 -2.1012 0.4181
-2.1266 -1.5597 -3.6667
-0.2899 -4.4493 -0.7211
Cl Ni W
2 1 1
Cartesian
-4.7945 -6.0826 -2.9773
0.0000 0.0000 0.0000
-3.1964 -4.0551 -1.9849
-1.5982 -2.0275 -0.9924
```

Formation energy (no corrections): 1.112 eV/atom
SG: No. 216
Final energy: -4.495 eV/atom


The following is a PBE calculation of a relaxed structure of NiW2Cl, from Alexandria.

Geometry as POSCAR:
```
NiW2Cl
1.0
-0.7351 1.5657 2.2494
-2.0216 0.0826 -1.9894
-3.6138 -6.5798 3.3990
Cl W Ni
1 2 1
Cartesian
-1.8328 -3.3371 1.7239
-2.2669 -0.7937 0.9657
-3.5669 -6.4944 3.3548
-4.1246 -4.1760 2.7129
```

Formation energy (no corrections): 0.385 eV/atom
SG: No. 35
Final energy: -7.998 eV/atom


The following is a PBE calculation of a relaxed structure of NiW2Cl, from Alexandria.

Geometry as POSCAR:
```
NiW2Cl
1.0
-1.8322 2.8293 -0.0745
-1.1245 -0.6632 2.4683
4.9697 3.3013 3.1509
W Ni Cl
2 1 1
Cartesian
2.4670 1.6597 2.3593
4.4254 2.9606 3.6013
1.9678 3.3932 4.1772
0.0452 2.0742 1.3676
```

Formation energy (no corrections): 0.516 eV/atom
SG: No. 47
Final energy: -7.867 eV/atom


The following is a PBE calculation of a relaxed structure of NiW2Cl, from Alexandria.

Geometry as POSCAR:
```
NiW2Cl
1.0
5.0841 0.3151 0.0000
2.0435 4.6660 0.0000
-3.5638 -2.4905 2.6540
Cl W Ni
1 2 1
Cartesian
1.0218 2.3330 1.3270
3.5638 2.4905 0.0000
0.0000 0.0000 0.0000
2.5420 0.1575 1.3270
```

Formation energy (no corrections): 1.154 eV/atom
SG: No. 139
Final energy: -7.230 eV/atom


The following is a PBE calculation of a relaxed structure of NiW3Cl, from Alexandria.

Geometry as POSCAR:
```
NiW3Cl
1.0
4.3577 0.0000 0.0000
0.0000 4.3577 0.0000
0.0000 0.0000 4.3577
W Ni Cl
3 1 1
Cartesian
0.0000 0.0000 2.1789
0.0000 2.1789 0.0000
2.1789 0.0000 0.0000
2.1789 2.1789 2.1789
0.0000 0.0000 0.0000
```

Formation energy (no corrections): 1.654 eV/atom
SG: No. 221
Final energy: -7.643 eV/atom


The following is a PBE calculation of a relaxed structure of Ni3WCl, from Alexandria.

Geometry as POSCAR:
```
Ni3WCl
1.0
-1.3191 3.7388 1.1130
1.0772 -0.7801 3.8972
3.7492 1.5395 -0.7282
Ni Cl W
3 1 1
Cartesian
-0.6595 1.8694 0.5565
0.5386 -0.3900 1.9486
1.8746 0.7698 -0.3641
0.0000 0.0000 0.0000
1.7537 2.2491 2.1410
```

Formation energy (no corrections): 1.122 eV/atom
SG: No. 221
Final energy: -5.307 eV/atom


The following is a PBE calculation of a relaxed structure of NiW2Cl, from Alexandria.

Geometry as POSCAR:
```
NiW2Cl
1.0
2.8809 0.0000 0.0000
0.0000 4.6915 0.0000
0.0000 0.0000 4.5293
W Cl Ni
2 1 1
Cartesian
1.4404 2.3458 0.0000
0.0000 0.0000 0.0000
1.4404 0.0000 2.2646
0.0000 2.3458 2.2646
```

Formation energy (no corrections): 0.939 eV/atom
SG: No. 47
Final energy: -7.445 eV/atom